Here is an optimized crystal structure of Li4CoO4 from OQMD. Energies are from PBE+U.

Values from the calculation:
Magnetization ... 0.333 μB/atom
Raw total energy ... -5.1361 eV per atom

Cell lengths 3.5968, 8.0659, 6.5321 Å; angles 90.00, 105.58, 90.00 degrees
Atoms (fractional coordinates):
Li  0.0000  0.0000  0.0000
Li  0.0000  0.5000  0.0000
Li  0.1275  0.2500  0.2845
Li  0.3122  0.5231  0.6201
Li  0.3122  0.9769  0.6201
Li  0.6878  0.0231  0.3799
Li  0.6878  0.4769  0.3799
Li  0.8725  0.7500  0.7155
Co  0.1691  0.7500  0.2928
Co  0.8309  0.2500  0.7072
O  0.0874  0.7500  0.0195
O  0.1465  0.5249  0.3004
O  0.1465  0.9751  0.3004
O  0.3084  0.7500  0.5784
O  0.6916  0.2500  0.4216
O  0.8535  0.0249  0.6996
O  0.8535  0.4751  0.6996
O  0.9126  0.2500  0.9805